VASP calculation (PBE-GGA) on a geometry-optimized PmMg2SiIr2 structure.

Output
- Space group: I4/mmm, No. 139

abc: 5.090 5.090 10.379
angles: 90.00 90.00 90.00
Fractional positions:
Pm  0.000  0.000  0.000
Pm  0.500  0.500  0.500
Mg  0.000  0.500  0.250
Mg  0.000  0.500  0.750
Mg  0.500  0.000  0.250
Mg  0.500  0.000  0.750
Si  0.000  0.000  0.500
Si  0.500  0.500  0.000
Ir  0.000  0.000  0.288
Ir  0.000  0.000  0.712
Ir  0.500  0.500  0.212
Ir  0.500  0.500  0.788

VASP calculation (PBE-GGA) on a geometry-optimized YMnTe2 structure.

Output
- Space group: P4mm, No. 99

abc: 4.157 4.157 6.299
angles: 90.00 90.00 90.00
Fractional positions:
Y  0.000  0.000  0.000
Mn  0.500  0.500  0.350
Te  0.000  0.000  0.470
Te  0.500  0.500  0.901

VASP calculation (PBE-GGA) on a geometry-optimized Y3SnSO structure.

Output
- Space group: P2_1/m, No. 11

abc: 8.658 3.910 8.900
angles: 90.00 103.39 90.00
Fractional positions:
Y  0.068  0.250  0.343
Y  0.331  0.250  0.981
Y  0.389  0.750  0.643
Y  0.611  0.250  0.357
Y  0.669  0.750  0.019
Y  0.932  0.750  0.657
Sn  0.315  0.750  0.274
Sn  0.685  0.250  0.726
S  0.159  0.250  0.661
S  0.841  0.750  0.339
O  0.409  0.750  0.902
O  0.591  0.250  0.098

| no. | DFT total energy (eV per formula unit) | density of states at the Fermi level (states/eV/f.u.) | formation energy without anion corrections (eV per atom) |
| --- | --- | --- | --- |
| 1 | -32.0 | 6.74 | -0.15 |
| 2 | -24.7 | 1.62 | -0.69 |
| 3 | -43.7 | 1.99 | -1.87 |